Record 1
# Nb2FeRhC

An optimized crystal structure of Nb2FeRhC (PBE, Alexandria via LeMat-Bulk).

The space group is P4/mmm (No. 123) and the conventional cell measures 4.3113, 4.3113 and 3.7373 Å, with angles of 90.00, 90.00 and 90.00 degrees. Symmetry generates all atoms from Nb at (0.0000, 0.5000, 0.0000), Fe at (0.0000, 0.0000, 0.5000), Rh at (0.5000, 0.5000, 0.5000) and C at (0.0000, 0.0000, 0.0000).

Its energy relative to the elements is -0.2121 eV per atom.

Record 2
# NbCd

An optimized crystal structure of NbCd (PBE, Alexandria via LeMat-Bulk).

The space group is P2_12_12_1 (No. 19) and the conventional cell measures 5.0132, 6.3077 and 9.8958 Å, with angles of 90.00, 90.00 and 90.00 degrees. Symmetry generates all atoms from Nb at (0.1676, 0.0207, 0.1181), Nb at (0.1689, 0.2377, 0.8868), Cd at (0.1692, 0.5194, 0.1230) and Cd at (0.1702, 0.7398, 0.8639).

Its energy relative to the elements is 0.2804 eV per atom.

Record 3
# HfTl6Cl12

An optimized crystal structure of HfTl6Cl12 (PBE, Alexandria via LeMat-Bulk).

The space group is R-3 (No. 148, hexagonal axes) and the conventional cell measures 13.0586, 13.0586 and 12.8739 Å, with angles of 90.00, 90.00 and 120.00 degrees. Symmetry generates all atoms from Hf at (0.0000, 0.0000, 0.0000), Tl at (0.0468, 0.7825, 0.6325), Cl at (0.0385, 0.8181, 0.3931) and Cl at (0.0547, 0.8793, 0.8906).

The formation energy without anion corrections comes out at -1.11 eV/atom.

Record 4
# RbBaMg2Cd

An optimized crystal structure of RbBaMg2Cd (PBE, Alexandria via LeMat-Bulk).

The space group is P4/mmm (No. 123) and the conventional cell measures 6.2433, 6.2433 and 6.2193 Å, with angles of 90.00, 90.00 and 90.00 degrees. Symmetry generates all atoms from Rb at (0.0000, 0.0000, 0.0000), Ba at (0.5000, 0.5000, 0.5000), Mg at (0.0000, 0.5000, 0.0000) and Cd at (0.0000, 0.0000, 0.5000).

The calculation puts the energy above the most stable polymorph in this dataset at 0.000 eV per atom. Its energy relative to the elements is 0.5594 eV per atom.

Record 5
# Eu3Th

An optimized crystal structure of Eu3Th (PBE, Alexandria via LeMat-Bulk).

The space group is Fm-3m (No. 225) and the conventional cell measures 8.4264, 8.4264 and 8.4264 Å, with angles of 90.00, 90.00 and 90.00 degrees. Symmetry generates all atoms from Eu at (0.0000, 0.0000, 0.0000), Eu at (0.2500, 0.2500, 0.2500) and Th at (0.0000, 0.0000, 0.5000).

The calculation puts the energy above the most stable polymorph in this dataset at 0.072 eV per atom. Its energy relative to the elements is 0.2590 eV per atom.

Record 6
# BaPa2N4

An optimized crystal structure of BaPa2N4 (PBE, Alexandria via LeMat-Bulk).

The space group is Cmcm (No. 63) and the conventional cell measures 3.6092, 11.7523 and 11.4172 Å, with angles of 90.00, 90.00 and 90.00 degrees. Symmetry generates all atoms from Ba at (0.0000, 0.1065, 0.2500), Pa at (0.0000, 0.3639, 0.0705), N at (0.0000, 0.0000, 0.0000), N at (0.0000, 0.2560, 0.5916) and N at (0.0000, 0.4300, 0.2500).

The calculation puts the energy above the most stable polymorph in this dataset at 0.099 eV per atom. The formation energy without anion corrections comes out at -1.43 eV/atom.